Record 1
A plane-wave DFT calculation with PBE+U was carried out for a relaxed K3Ac3MoO8 crystal.

Summary:
- calculated total energy (eV per formula unit) = -98.19

Structure (POSCAR):
```
K3Ac3MoO8
1.0
6.448 -3.689 0.000
6.448 3.689 0.000
-4.249 0.000 6.329
K Ac Mo O
3 3 1 8
Direct
0.000 0.000 0.000 K
0.000 0.500 0.000 K
0.500 0.000 0.000 K
0.000 0.500 0.500 Ac
0.500 0.000 0.500 Ac
0.500 0.500 0.500 Ac
0.000 0.000 0.500 Mo
0.200 0.774 0.674 O
0.208 0.208 0.677 O
0.226 0.800 0.326 O
0.269 0.269 0.301 O
0.731 0.731 0.699 O
0.774 0.200 0.674 O
0.792 0.792 0.323 O
0.800 0.226 0.326 O
```

***

Record 2
A plane-wave DFT calculation with PBE+U was carried out for a relaxed KAcMoO5 crystal.

Summary:
- calculated total energy (eV per formula unit) = -55.17

Structure (POSCAR):
```
KAcMoO5
1.0
4.119 -5.295 0.000
4.119 5.295 0.000
-3.396 0.000 7.936
K Ac Mo O
2 2 2 10
Direct
0.179 0.821 0.750 K
0.821 0.179 0.250 K
0.500 0.500 0.000 Ac
0.500 0.500 0.500 Ac
0.172 0.828 0.250 Mo
0.828 0.172 0.750 Mo
0.096 0.239 0.893 O
0.183 0.639 0.367 O
0.239 0.096 0.393 O
0.361 0.817 0.133 O
0.419 0.581 0.750 O
0.581 0.419 0.250 O
0.639 0.183 0.867 O
0.761 0.904 0.607 O
0.817 0.361 0.633 O
0.904 0.761 0.107 O
```

***

Record 3
A plane-wave DFT calculation with PBE+U was carried out for a relaxed K3AcMo2O8 crystal.

Summary:
- calculated total energy (eV per formula unit) = -88.78

Structure (POSCAR):
```
K3AcMo2O8
1.0
6.392 0.000 0.000
-3.196 5.536 0.000
0.000 0.000 7.949
K Ac Mo O
3 1 2 8
Direct
0.000 0.000 0.000 K
0.333 0.667 0.671 K
0.667 0.333 0.329 K
0.000 0.000 0.500 Ac
0.333 0.667 0.215 Mo
0.667 0.333 0.785 Mo
0.177 0.354 0.311 O
0.177 0.823 0.311 O
0.333 0.667 0.988 O
0.354 0.177 0.689 O
0.646 0.823 0.311 O
0.667 0.333 0.012 O
0.823 0.177 0.689 O
0.823 0.646 0.689 O
```

***

Record 4
A plane-wave DFT calculation with PBE+U was carried out for a relaxed K2Ac2MoO6 crystal.

Summary:
- calculated total energy (eV per formula unit) = -72.73

Structure (POSCAR):
```
K2Ac2MoO6
1.0
3.182 -5.404 0.000
3.182 5.404 0.000
-1.665 0.000 6.435
K Ac Mo O
2 2 1 6
Direct
0.146 0.854 0.000 K
0.854 0.146 0.000 K
0.337 0.663 0.500 Ac
0.663 0.337 0.500 Ac
0.000 0.000 0.500 Mo
0.039 0.330 0.669 O
0.241 0.241 0.317 O
0.330 0.039 0.669 O
0.670 0.961 0.331 O
0.759 0.759 0.683 O
0.961 0.670 0.331 O
```

***

Record 5
A plane-wave DFT calculation with PBE+U was carried out for a relaxed KAc2MoO8 crystal.

Summary:
- calculated total energy (eV per formula unit) = -81.57

Structure (POSCAR):
```
KAc2MoO8
1.0
4.485 0.000 0.000
0.000 5.481 0.000
-2.027 0.000 7.454
K Ac Mo O
1 2 1 8
Direct
0.000 0.000 0.000 K
0.374 0.500 0.704 Ac
0.626 0.500 0.296 Ac
0.000 0.000 0.500 Mo
0.158 0.500 0.000 O
0.191 0.265 0.397 O
0.191 0.735 0.397 O
0.327 0.000 0.722 O
0.673 0.000 0.278 O
0.809 0.265 0.603 O
0.809 0.735 0.603 O
0.842 0.500 0.000 O
```

***

Record 6
A plane-wave DFT calculation with PBE+U was carried out for a relaxed K3Ac2MoO6 crystal.

Summary:
- calculated total energy (eV per formula unit) = -74.80

Structure (POSCAR):
```
K3Ac2MoO6
1.0
3.174 -5.509 0.000
3.174 5.509 0.000
-2.067 0.000 6.308
K Ac Mo O
3 2 1 6
Direct
0.000 0.000 0.000 K
0.345 0.655 0.000 K
0.655 0.345 0.000 K
0.167 0.833 0.500 Ac
0.833 0.167 0.500 Ac
0.500 0.500 0.500 Mo
0.134 0.437 0.308 O
0.258 0.258 0.690 O
0.437 0.134 0.308 O
0.563 0.866 0.692 O
0.742 0.742 0.310 O
0.866 0.563 0.692 O
```